Arrangement A

DFT (GGA+U) results for a geometry-optimized AlMoF structure.

Computed properties:
The calculation puts the density of states at the Fermi level at 1.0 states/eV/f.u. The calculation puts the size of the total moment at 3.98 μB/cell. For the calculated volume, the calculation gives 16.98 A^3/atom.

Cell and atoms, written as CIF:
```
data_AlMoF
_chemical_formula_sum 'Al4 Mo4 F4'
_symmetry_space_group_name_H-M 'C 1 m 1'
_symmetry_Int_Tables_number 8
_symmetry_space_group_name_Hall 'C -2y'
_cell_length_a 9.2927
_cell_length_b 3.2333
_cell_length_c 7.5270
_cell_angle_alpha 90.00
_cell_angle_beta 115.72
_cell_angle_gamma 90.00
loop_
_atom_site_label
_atom_site_fract_x
_atom_site_fract_y
_atom_site_fract_z
Al1 0.0000 0.0000 0.0000
Al2 0.2248 0.5000 0.3385
Mo1 0.0880 0.0000 0.5562
Mo2 0.4108 0.0000 0.2266
F1 0.1594 0.0000 0.9229
F2 0.3521 0.5000 0.7503
```


Arrangement B

DFT (GGA+U) results for a geometry-optimized AlMoF structure.

Computed properties:
The calculation puts the density of states at the Fermi level at 1.0 states/eV/f.u. The calculation puts the size of the total moment at 0.00 μB/cell. For the calculated volume, the calculation gives 15.46 A^3/atom.

Cell and atoms, written as CIF:
```
data_AlMoF
_chemical_formula_sum 'Al4 Mo4 F4'
_symmetry_space_group_name_H-M 'C m c m'
_symmetry_Int_Tables_number 63
_symmetry_space_group_name_Hall '-C 2c 2'
_cell_length_a 4.4788
_cell_length_b 11.9448
_cell_length_c 3.4680
_cell_angle_alpha 90.00
_cell_angle_beta 90.00
_cell_angle_gamma 90.00
loop_
_atom_site_label
_atom_site_fract_x
_atom_site_fract_y
_atom_site_fract_z
Al1 0.0000 0.0920 0.2500
Mo1 0.0000 0.4267 0.2500
F1 0.0000 0.2434 0.2500
```


Quick one: least stable of them? arrangement B


Arrangement A

DFT (GGA+U) results for a geometry-optimized AlMoF2 structure.

Computed properties:
The calculation puts the density of states at the Fermi level at 0.8 states/eV/f.u. The calculation puts the size of the total moment at 3.34 μB/cell. For the calculated volume, the calculation gives 13.24 A^3/atom.

Cell and atoms, written as CIF:
```
data_AlMoF2
_chemical_formula_sum 'Al4 Mo4 F8'
_symmetry_space_group_name_H-M 'F m -3 m'
_symmetry_Int_Tables_number 225
_symmetry_space_group_name_Hall '-F 4 2 3'
_cell_length_a 5.9615
_cell_length_b 5.9615
_cell_length_c 5.9615
_cell_angle_alpha 90.00
_cell_angle_beta 90.00
_cell_angle_gamma 90.00
loop_
_atom_site_label
_atom_site_fract_x
_atom_site_fract_y
_atom_site_fract_z
Al1 0.0000 0.0000 0.0000
Mo1 0.0000 0.0000 0.5000
F1 0.2500 0.2500 0.2500
```


Arrangement B

DFT (GGA+U) results for a geometry-optimized AlMoF2 structure.

Computed properties:
The calculation puts the density of states at the Fermi level at 0.1 states/eV/f.u. The calculation puts the size of the total moment at 1.55 μB/cell. For the calculated volume, the calculation gives 12.96 A^3/atom.

Cell and atoms, written as CIF:
```
data_AlMoF2
_chemical_formula_sum 'Al3 Mo3 F6'
_symmetry_space_group_name_H-M 'R -3 m'
_symmetry_Int_Tables_number 166
_symmetry_space_group_name_Hall '-R 3 2"'
_cell_length_a 2.7427
_cell_length_b 2.7427
_cell_length_c 23.8641
_cell_angle_alpha 90.00
_cell_angle_beta 90.00
_cell_angle_gamma 120.00
loop_
_atom_site_label
_atom_site_fract_x
_atom_site_fract_y
_atom_site_fract_z
Al1 0.0000 0.0000 0.0000
Mo1 0.0000 0.0000 0.5000
F1 0.0000 0.0000 0.0775
```


Quick one: least stable of them? arrangement A


Arrangement A

DFT (GGA+U) results for a geometry-optimized AlMoNF2 structure.

Computed properties:
The calculation puts the density of states at the Fermi level at 0.5 states/eV/f.u. The calculation puts the size of the total moment at 1.99 μB/cell. For the calculated volume, the calculation gives 14.90 A^3/atom.

Cell and atoms, written as CIF:
```
data_AlMoNF2
_chemical_formula_sum 'Al1 Mo1 N1 F2'
_symmetry_space_group_name_H-M 'P 4/m m m'
_symmetry_Int_Tables_number 123
_symmetry_space_group_name_Hall '-P 4 2'
_cell_length_a 4.3103
_cell_length_b 4.3103
_cell_length_c 4.0094
_cell_angle_alpha 90.00
_cell_angle_beta 90.00
_cell_angle_gamma 90.00
loop_
_atom_site_label
_atom_site_fract_x
_atom_site_fract_y
_atom_site_fract_z
Al1 0.0000 0.0000 0.0000
Mo1 0.5000 0.5000 0.5000
N1 0.5000 0.5000 0.0000
F1 0.0000 0.5000 0.5000
```


Arrangement B

DFT (GGA+U) results for a geometry-optimized AlMoNF2 structure.

Computed properties:
The calculation puts the density of states at the Fermi level at 0.0 states/eV/f.u. The calculation puts the size of the total moment at 4.00 μB/cell. For the calculated volume, the calculation gives 11.19 A^3/atom.

Cell and atoms, written as CIF:
```
data_AlMoNF2
_chemical_formula_sum 'Al1 Mo1 N1 F2'
_symmetry_space_group_name_H-M 'P 4/m m m'
_symmetry_Int_Tables_number 123
_symmetry_space_group_name_Hall '-P 4 2'
_cell_length_a 3.6681
_cell_length_b 3.6681
_cell_length_c 4.1571
_cell_angle_alpha 90.00
_cell_angle_beta 90.00
_cell_angle_gamma 90.00
loop_
_atom_site_label
_atom_site_fract_x
_atom_site_fract_y
_atom_site_fract_z
Al1 0.0000 0.0000 0.0000
Mo1 0.5000 0.5000 0.5000
N1 0.0000 0.0000 0.5000
F1 0.0000 0.5000 0.0000
```


Quick one: least stable of them? arrangement A